Record 1
Material: LaDy6Er8
Method: DFT, PBE
State: relaxed

Cell and atoms, written as extended XYZ:
```
15
Lattice="-8.002 1.278 -3.870 -4.051 -6.776 -4.280 -7.127 -3.655 3.110" Properties=species:S:1:pos:R:3 pbc="T T T"
La 0.000 0.000 0.000
Dy -3.929 -3.955 -2.323
Dy -16.005 -8.259 -4.077
Dy -13.061 -7.819 -2.368
Dy -6.119 -1.335 -2.672
Dy -3.175 -0.894 -0.963
Dy -15.251 -5.199 -2.717
Er -12.341 -2.862 -2.856
Er -9.435 -1.359 -2.026
Er -11.807 -5.676 -4.642
Er -10.305 -4.996 -1.180
Er -8.875 -4.158 -3.860
Er -7.373 -3.478 -0.398
Er -9.745 -7.795 -3.013
Er -6.839 -6.292 -2.184
```

Energy of formation: 139 meV per atom
Total magnetic moment: 0.00 μB per formula unit

---

Record 2
Material: CaPr2Er3Te6
Method: DFT, PBE
State: relaxed

Cell and atoms, written as extended XYZ:
```
12
Lattice="-0.070 3.187 -3.011 -8.885 0.314 0.538 3.020 4.772 8.174" Properties=species:S:1:pos:R:3 pbc="T T T"
Ca -0.035 1.593 -1.506
Pr -3.904 5.954 3.199
Pr -2.031 2.319 2.502
Er -4.477 1.750 -1.236
Er 0.422 5.841 2.980
Er -6.357 2.432 2.721
Te -6.255 4.535 4.945
Te -4.352 3.808 0.939
Te 0.320 3.738 0.756
Te 0.684 8.006 5.264
Te -6.619 0.267 0.437
Te -1.583 4.465 4.762
```

Total magnetic moment: 0.00 μB per formula unit
Energy relative to the elements, uncorrected: -1585 kJ/mol of formula units

---

Record 3
Material: SbTeMo2
Method: DFT, PBE
State: relaxed

Cell and atoms, written as extended XYZ:
```
4
Lattice="-2.492 -5.427 -6.247 -1.440 -7.522 -4.005 -4.454 -6.338 -3.831" Properties=species:S:1:pos:R:3 pbc="T T T"
Mo -0.004 -0.010 -0.007
Mo -4.189 -9.633 -7.034
Sb -2.097 -4.822 -3.521
Te -6.290 -14.465 -10.562
```

Total magnetic moment: 0.00 μB per formula unit
Energy relative to the elements, uncorrected: 169 kJ/mol of formula units
Polymorph energy (0 for the lowest one): 318 meV/atom

---

Record 4
Material: Dy2YTm7
Method: DFT, PBE
State: relaxed

Cell and atoms, written as extended XYZ:
```
10
Lattice="5.180 0.000 0.000 0.000 9.463 -0.760 0.000 -4.948 8.102" Properties=species:S:1:pos:R:3 pbc="T T T"
Dy 2.590 5.159 1.887
Dy 2.590 -0.644 5.455
Y 0.000 0.000 0.000
Tm 0.000 6.625 0.985
Tm 0.000 -2.110 6.357
Tm 2.590 -0.772 2.277
Tm 2.590 5.287 5.065
Tm 2.590 2.380 0.338
Tm 2.590 2.135 7.003
Tm 2.590 2.258 3.671
```

Energy of formation: 712 meV per atom
Total magnetic moment: 0.00 μB per formula unit
Polymorph energy (0 for the lowest one): 657 meV/atom

---

Record 5
Material: TmHfSe4
Method: DFT, PBE
State: relaxed

Cell and atoms, written as extended XYZ:
```
6
Lattice="-1.011 -0.190 3.836 0.745 -6.473 -0.125 6.250 0.753 1.685" Properties=species:S:1:pos:R:3 pbc="T T T"
Tm -0.506 -0.095 1.918
Hf 3.498 -2.860 0.780
Se 1.479 -1.209 0.330
Se 5.517 -4.511 1.230
Se 1.927 -4.352 2.348
Se 4.057 -1.558 3.048
```

Total magnetic moment: 0.00 μB per formula unit
Energy relative to the elements, uncorrected: -719 kJ/mol of formula units

---

Record 6
Material: Cs2BeTc
Method: DFT, PBE
State: relaxed

Cell and atoms, written as extended XYZ:
```
4
Lattice="0.000 3.930 3.930 3.930 0.000 3.930 3.930 3.930 0.000" Properties=species:S:1:pos:R:3 pbc="T T T"
Cs 1.965 1.965 1.965
Cs 5.895 5.895 5.895
Be 0.000 0.000 0.000
Tc 3.930 3.930 3.930
```

Energy of formation: 1903 meV per atom
Total magnetic moment: 3.10 μB per formula unit

---

Record 7
Material: MgMnMo2
Method: DFT, PBE
State: relaxed

Cell and atoms, written as extended XYZ:
```
4
Lattice="5.127 -0.002 0.000 2.232 4.616 0.000 -3.149 -3.152 2.536" Properties=species:S:1:pos:R:3 pbc="T T T"
Mg 3.595 2.254 0.000
Mn 1.257 1.808 1.268
Mo 0.099 0.062 0.000
Mo 2.937 -0.355 1.268
```

Energy of formation: 329 meV per atom
Total magnetic moment: 0.00 μB per formula unit

---

Record 8
Material: Hf2PbS4
Method: DFT, PBE
State: relaxed

Cell and atoms, written as extended XYZ:
```
14
Lattice="3.726 0.000 0.000 -1.863 5.982 0.000 0.000 0.000 13.330" Properties=species:S:1:pos:R:3 pbc="T T T"
Hf 0.000 1.557 5.837
Hf 1.863 4.425 12.502
Hf 0.000 1.557 0.828
Hf 1.863 4.425 7.493
Pb 1.863 1.272 9.997
Pb 0.000 4.710 3.332
S 1.863 3.270 1.441
S 1.863 3.270 5.224
S 0.000 2.711 11.889
S 0.000 2.711 8.106
S 1.863 5.122 9.997
S 0.000 0.860 3.332
S 1.863 0.000 0.000
S 1.863 0.000 6.665
```

Total magnetic moment: 0.00 μB per formula unit
Energy relative to the elements, uncorrected: -805 kJ/mol of formula units

---

Record 9
Material: Dy2YGa2Cu2
Method: DFT, PBE
State: relaxed

Cell and atoms, written as extended XYZ:
```
7
Lattice="-2.983 -0.222 -3.187 0.465 -2.908 -3.230 -5.582 -7.210 2.729" Properties=species:S:1:pos:R:3 pbc="T T T"
Dy -3.817 -4.916 0.918
Dy -4.282 -5.424 -4.606
Y 0.000 0.000 0.000
Ga -6.268 -8.006 -2.567
Ga -1.831 -2.333 -1.121
Cu -2.606 -3.292 -3.326
Cu -5.493 -7.047 -0.362
```

Energy of formation: -403 meV per atom
Total magnetic moment: 0.00 μB per formula unit

---

Record 10
Material: LiAlGe
Method: DFT, PBE
State: relaxed

Cell and atoms, written as extended XYZ:
```
6
Lattice="-2.066 -1.188 1.801 2.678 0.526 3.419 -3.268 6.764 1.519" Properties=species:S:1:pos:R:3 pbc="T T T"
Ge -0.990 1.093 2.007
Ge -1.666 5.009 4.732
Al -2.645 3.120 2.991
Al -0.011 2.982 3.748
Li -2.384 6.097 2.328
Li -0.272 0.005 4.410
```

Energy of formation: -62 meV per atom
Total magnetic moment: 0.00 μB per formula unit

---

Record 11
Material: Ta2CrRe
Method: DFT, PBE
State: relaxed

Cell and atoms, written as extended XYZ:
```
4
Lattice="4.454 0.000 0.000 2.227 3.857 0.000 2.227 1.286 3.637" Properties=species:S:1:pos:R:3 pbc="T T T"
Cr 4.454 2.572 1.818
Re 2.227 1.286 0.909
Ta 0.000 0.000 0.000
Ta 6.681 3.857 2.728
```

Energy of formation: -82 meV per atom
Total magnetic moment: 0.00 μB per formula unit

---

Record 12
Material: SrCaNd2In4
Method: DFT, PBE
State: relaxed

Cell and atoms, written as extended XYZ:
```
8
Lattice="5.534 0.000 0.000 2.767 4.792 0.000 2.767 1.597 9.054" Properties=species:S:1:pos:R:3 pbc="T T T"
Sr 0.000 0.000 0.000
Ca 5.534 3.195 4.527
Nd 8.301 4.792 6.752
Nd 2.767 1.597 2.302
In 5.534 3.195 7.886
In 8.301 4.792 3.434
In 2.767 1.597 5.620
In 5.534 3.195 1.168
```

Energy of formation: -437 meV per atom
Total magnetic moment: 0.00 μB per formula unit

---

Record 13
Material: Nb2Zn2Pb
Method: DFT, PBE
State: relaxed

Cell and atoms, written as extended XYZ:
```
5
Lattice="-1.794 3.430 0.259 0.138 -0.220 3.871 5.189 4.754 2.030" Properties=species:S:1:pos:R:3 pbc="T T T"
Pb 0.000 0.000 0.000
Nb 1.284 4.894 2.177
Nb 2.250 3.069 3.983
Zn 0.346 2.219 2.058
Zn 3.188 5.745 4.101
```

Energy of formation: 385 meV per atom
Total magnetic moment: 0.00 μB per formula unit
Polymorph energy (0 for the lowest one): 86 meV/atom

---

Record 14
Material: MgIn3Ga3
Method: DFT, PBE
State: relaxed

Cell and atoms, written as extended XYZ:
```
14
Lattice="7.673 0.000 0.000 0.000 7.673 0.000 0.000 0.000 7.673" Properties=species:S:1:pos:R:3 pbc="T T T"
Mg 3.836 3.836 3.836
Mg 0.000 0.000 0.000
Ga 0.000 1.918 3.836
Ga 0.000 5.754 3.836
Ga 3.836 0.000 5.754
Ga 5.754 3.836 0.000
Ga 3.836 0.000 1.918
Ga 1.918 3.836 0.000
In 1.918 0.000 3.836
In 0.000 3.836 1.918
In 3.836 5.754 0.000
In 5.754 0.000 3.836
In 0.000 3.836 5.754
In 3.836 1.918 0.000
```

Energy of formation: 400 meV per atom
Total magnetic moment: 0.00 μB per formula unit
Polymorph energy (0 for the lowest one): 405 meV/atom

---

Record 15
Material: Sr2AuO
Method: DFT, PBE
State: relaxed

Cell and atoms, written as extended XYZ:
```
8
Lattice="7.168 0.000 0.000 0.000 7.168 0.000 3.584 3.584 4.365" Properties=species:S:1:pos:R:3 pbc="T T T"
Sr 4.747 1.792 1.091
Sr 2.420 5.376 1.091
Sr 5.376 6.004 3.274
Sr 8.960 8.331 3.274
Au 0.000 0.000 0.000
Au 7.168 3.584 2.183
O 3.584 3.584 0.000
O 3.584 7.168 2.183
```

Total magnetic moment: 0.00 μB per formula unit
Energy relative to the elements, uncorrected: -604 kJ/mol of formula units

---

Record 16
Material: MgInO3
Method: DFT, PBE
State: relaxed

Cell and atoms, written as extended XYZ:
```
10
Lattice="5.046 0.000 0.000 0.000 5.302 0.000 0.000 -2.651 4.592" Properties=species:S:1:pos:R:3 pbc="T T T"
Mg 3.785 0.000 0.000
Mg 1.262 0.000 0.000
In 1.262 2.651 1.531
In 3.785 0.000 3.061
O 0.000 1.830 3.169
O 2.523 3.660 0.000
O 2.523 -1.830 3.169
O 0.000 -0.821 1.423
O 2.523 0.821 1.423
O 0.000 1.643 0.000
```

Total magnetic moment: 1.00 μB per formula unit
Energy relative to the elements, uncorrected: -751 kJ/mol of formula units

---

Record 17
Material: DyY4Ho7
Method: DFT, PBE
State: relaxed

Cell and atoms, written as extended XYZ:
```
12
Lattice="-1.560 -2.380 -5.117 9.906 -1.256 -5.786 -0.138 -6.666 -0.207" Properties=species:S:1:pos:R:3 pbc="T T T"
Dy 0.000 0.000 0.000
Y 1.161 -5.152 -4.657
Y 7.046 -5.150 -6.453
Y 5.442 -8.016 -7.981
Y 2.765 -2.287 -3.129
Ho 7.855 -6.361 -9.486
Ho 0.352 -3.942 -1.624
Ho 6.615 -2.293 -4.300
Ho 1.593 -8.009 -6.810
Ho 4.269 -6.611 -4.926
Ho -0.780 -1.190 -2.559
Ho 3.938 -3.691 -6.184
```

Energy of formation: 288 meV per atom
Total magnetic moment: 0.00 μB per formula unit

---

Record 18
Material: CaDyAlAu
Method: DFT, PBE
State: relaxed

Cell and atoms, written as extended XYZ:
```
4
Lattice="-2.254 4.593 0.539 -3.334 1.662 -3.549 -5.014 0.290 1.116" Properties=species:S:1:pos:R:3 pbc="T T T"
Ca 0.000 0.000 0.000
Au -2.651 1.636 -0.473
Al -7.952 4.909 -1.420
Dy -5.301 3.273 -0.947
```

Energy of formation: -517 meV per atom
Total magnetic moment: 0.00 μB per formula unit

---

Record 19
Material: Er5Te4C
Method: DFT, PBE
State: relaxed

Cell and atoms, written as extended XYZ:
```
10
Lattice="-1.716 -4.469 -3.520 3.084 0.061 -6.596 4.139 -5.967 0.542" Properties=species:S:1:pos:R:3 pbc="T T T"
Er 2.973 -9.123 -4.948
Er 4.958 -5.027 -6.101
Er 0.537 -5.380 -3.498
Er 2.522 -1.283 -4.651
Er -0.786 -2.047 -1.612
Te 3.717 -6.465 -3.661
Te 3.495 -7.188 -7.650
Te 2.003 -3.209 -1.942
Te 1.781 -3.932 -5.931
C -0.049 -0.128 -0.101
```

Total magnetic moment: 0.00 μB per formula unit
Energy relative to the elements, uncorrected: -1049 kJ/mol of formula units

---

Record 20
Material: NaAg2HgCl8
Method: DFT, PBE
State: relaxed

Cell and atoms, written as extended XYZ:
```
12
Lattice="-1.252 2.634 6.204 1.403 -6.071 2.860 6.942 3.626 -3.926" Properties=species:S:1:pos:R:3 pbc="T T T"
Na 0.000 0.000 0.000
Ag 0.075 -1.718 4.532
Ag 4.210 -2.082 1.733
Hg 2.883 2.271 3.405
Cl 0.424 -3.257 6.258
Cl -0.126 -0.140 2.819
Cl 3.697 -0.146 3.202
Cl 3.730 -1.313 6.491
Cl 3.858 -0.661 -0.274
Cl 2.901 2.499 0.858
Cl 7.523 0.257 -0.970
Cl 6.365 3.518 2.170
```

Total magnetic moment: 0.00 μB per formula unit
Energy relative to the elements, uncorrected: -582 kJ/mol of formula units

---

Density of states at the Fermi level / states/eV per atom: 1.53, 0.49, 1.23, 1.24, 0.84, 0.64, 0.92, 0.36, 0.62, 0.35, 0.51, 0.83, 0.89, 0.64, 0.43, 0.48, 1.76, 0.96, 0.60, 0.43